(1)
VASP calculation (PBE) on a relaxed structure of FeHg2Rh.

As for the energy above the lowest structure with this stoichiometry: 154 meV per atom. For the energy relative to the elements, the calculation gives 0.329 eV per atom.

The space group is I-4m2 (No. 119) and the conventional cell measures 4.062, 4.062 and 8.317 Å, with angles of 90.00, 90.00 and 90.00 degrees. Symmetry generates all atoms from Fe at (0.000, 0.000, 0.000), Hg at (0.000, 0.000, 0.500), Hg at (0.000, 0.500, 0.750) and Rh at (0.000, 0.500, 0.250).

***

(2)
VASP calculation (PBE) on a relaxed structure of BeZnPb.

For the energy relative to the elements, the calculation gives 0.190 eV per atom.

The space group is P1 (No. 1) and the conventional cell measures 3.864, 3.864 and 9.591 Å, with angles of 78.49, 78.55 and 60.01 degrees. Symmetry generates all atoms from Be at (0.000, 0.000, 0.000), Be at (0.298, 0.297, 0.109), Zn at (0.378, 0.380, 0.863), Zn at (0.648, 0.648, 0.056), Pb at (0.112, 0.115, 0.656) and Pb at (0.898, 0.897, 0.310).

***

(3)
VASP calculation (PBE) on a relaxed structure of Th6SbP2S3.

The raw formation energy is -1564 meV per atom.

The space group is C2/m (No. 12) and the conventional cell measures 18.047, 4.162 and 8.320 Å, with angles of 90.00, 102.22 and 90.00 degrees. Symmetry generates all atoms from Th at (0.003, 0.000, 0.275), Th at (0.167, 0.500, 0.580), Th at (0.176, 0.500, 0.091), Sb at (0.000, 0.500, 0.000), P at (0.169, 0.000, 0.334), S at (0.000, 0.500, 0.500) and S at (0.161, 0.000, 0.831).

***

(4)
VASP calculation (PBE) on a relaxed structure of Cs2TbCrS4.

The raw formation energy is -1184 meV per atom.

The space group is Fddd (No. 70, origin choice 2) and the conventional cell measures 6.462, 14.324 and 25.737 Å, with angles of 90.00, 90.00 and 90.00 degrees. Symmetry generates all atoms from Cs at (0.125, 0.125, 0.304), Tb at (0.125, 0.125, 0.125), Cr at (0.125, 0.125, 0.625) and S at (0.090, 0.283, 0.827).

***

(5)
VASP calculation (PBE) on a relaxed structure of As2Ru.

For the energy relative to the elements, the calculation gives -0.119 eV per atom.

The space group is Fm-3m (No. 225) and the conventional cell measures 5.967, 5.967 and 5.967 Å, with angles of 90.00, 90.00 and 90.00 degrees. Symmetry generates all atoms from As at (0.250, 0.250, 0.250) and Ru at (0.000, 0.000, 0.000).

***

(6)
VASP calculation (PBE) on a relaxed structure of CaLa2P2.

As for the energy above the lowest structure with this stoichiometry: 499 meV per atom. For the energy relative to the elements, the calculation gives -0.734 eV per atom.

The space group is I4/mmm (No. 139) and the conventional cell measures 4.531, 4.531 and 12.812 Å, with angles of 90.00, 90.00 and 90.00 degrees. Symmetry generates all atoms from Ca at (0.000, 0.000, 0.000), La at (0.000, 0.500, 0.250) and P at (0.000, 0.000, 0.408).

***

(7)
VASP calculation (PBE) on a relaxed structure of NaYNb3.

As for the energy above the lowest structure with this stoichiometry: 260 meV per atom. For the energy relative to the elements, the calculation gives 2.021 eV per atom.

The space group is Pm-3m (No. 221) and the conventional cell measures 5.085, 5.085 and 5.085 Å, with angles of 90.00, 90.00 and 90.00 degrees. Symmetry generates all atoms from Na at (0.000, 0.000, 0.000), Y at (0.500, 0.500, 0.500) and Nb at (0.000, 0.500, 0.500).

***

(8)
VASP calculation (PBE) on a relaxed structure of AcHoMg2Au4.

For the energy relative to the elements, the calculation gives -0.754 eV per atom.

The space group is R-3m (No. 166, hexagonal axes) and the conventional cell measures 4.7637, 4.7637 and 28.2884 Å, with angles of 90.00, 90.00 and 120.00 degrees. Symmetry generates all atoms from Ac at (0.0000, 0.0000, 0.0000), Ho at (0.0000, 0.0000, 0.5000), Mg at (0.0000, 0.0000, 0.2398), Au at (0.0000, 0.0000, 0.1191) and Au at (0.0000, 0.0000, 0.3965).

***

Ρ per entry: 13.5 7.7 9.1 3.4 7.8 4.8 4.9 11.0 Mg/m³